The following is a PBE-GGA calculation of a geometry-optimized HfIn2Ni structure, from Alexandria via LeMat-Bulk.

POSCAR file:
```
HfIn2Ni
1.0
4.2146 0.0000 0.0000
0.0000 4.2146 0.0000
0.0000 0.0000 4.2754
Hf In Ni
1 2 1
direct
0.0000 0.0000 0.0000
0.0000 0.5000 0.5000
0.5000 0.0000 0.5000
0.5000 0.5000 0.0000
```

Results
Volume, Å³/cell: 76
ΔH_f (0 K), meV per atom: -91
Magnetic moment, μB/f.u.: 0.00
DOS(E_F), states/eV/f.u.: 1.4